Crystalline SrAlMo2 at its relaxed geometry. Source: the Alexandria database, functional PBE-GGA.

Values from the calculation:
SG: F222
VASP energy, eV for the cell shown: -24.33
D(E_F), states/eV per cell: 4.50

```
SrAlMo2
1.0
-1.725 1.437 4.242
-4.347 -1.640 -1.202
3.804 -2.913 -0.186
Al Sr Mo
1 1 2
direct
0.750 0.250 0.500 Al
0.500 0.500 0.000 Sr
0.250 0.750 0.500 Mo
0.000 0.000 0.000 Mo
```


Crystalline SrAl2Mo at its relaxed geometry. Source: the Alexandria database, functional PBE-GGA.

Values from the calculation:
SG: Pmm2
VASP energy, eV for the cell shown: -18.92
Distance to the lowest polymorph of the same formula, eV per formula unit: 1.006
D(E_F), states/eV per cell: 3.28

```
SrAl2Mo
1.0
-2.152 2.002 -0.400
-1.168 -0.544 3.563
4.698 5.527 2.383
Mo Sr Al
1 1 2
direct
0.000 0.000 0.422 Mo
0.500 0.500 0.742 Sr
0.500 0.500 0.268 Al
0.000 0.000 0.069 Al
```


Crystalline Sr2AlMo at its relaxed geometry. Source: the Alexandria database, functional PBE-GGA.

Values from the calculation:
SG: R-3m
VASP energy, eV for the cell shown: -14.37
D(E_F), states/eV per cell: 3.08

```
Sr2AlMo
1.0
-2.299 -3.930 9.984
1.056 -3.569 10.323
-0.998 -0.931 10.888
Mo Sr Al
1 2 1
direct
0.750 0.750 0.750 Mo
0.497 0.497 0.497 Sr
0.003 0.003 0.003 Sr
0.250 0.250 0.250 Al
```


Crystalline SrAl2Mo at its relaxed geometry. Source: the Alexandria database, functional PBE-GGA.

Values from the calculation:
SG: Cmmm
VASP energy, eV for the cell shown: -18.25
Distance to the lowest polymorph of the same formula, eV per formula unit: 1.667
D(E_F), states/eV per cell: 3.71

```
SrAl2Mo
1.0
6.982 0.003 0.009
-2.875 4.436 0.000
1.232 0.802 2.549
Sr Al Mo
1 2 1
direct
0.500 0.500 0.000 Sr
0.500 0.000 0.500 Al
0.000 0.000 0.000 Al
0.000 0.500 0.500 Mo
```


Crystalline SrAlMo3 at its relaxed geometry. Source: the Alexandria database, functional PBE-GGA.

Values from the calculation:
SG: Pm-3m
VASP energy, eV for the cell shown: -30.74
Distance to the lowest polymorph of the same formula, eV per formula unit: 0.000
D(E_F), states/eV per cell: 8.32

```
SrAlMo3
1.0
4.779 0.000 0.000
0.000 4.779 0.000
0.000 0.000 4.779
Mo Al Sr
3 1 1
direct
0.000 0.500 0.000 Mo
0.500 0.000 0.000 Mo
0.000 0.000 0.500 Mo
0.000 0.000 0.000 Al
0.500 0.500 0.500 Sr
```


Crystalline SrAl2Mo at its relaxed geometry. Source: the Alexandria database, functional PBE-GGA.

Values from the calculation:
SG: C2/m
VASP energy, eV for the cell shown: -19.19
Distance to the lowest polymorph of the same formula, eV per formula unit: 0.735
D(E_F), states/eV per cell: 2.43

```
SrAl2Mo
1.0
-3.275 -1.808 2.964
-3.328 -3.382 0.512
3.989 -4.396 2.736
Al Sr Mo
2 1 1
direct
0.012 0.012 0.923 Al
0.488 0.488 0.577 Al
0.250 0.250 0.250 Sr
0.750 0.750 0.750 Mo
```


Crystalline SrAl2Mo2 at its relaxed geometry. Source: the Alexandria database, functional PBE-GGA.

Values from the calculation:
SG: I4/mmm
VASP energy, eV for the cell shown: -30.32
Distance to the lowest polymorph of the same formula, eV per formula unit: 0.000
D(E_F), states/eV per cell: 1.92

```
SrAl2Mo2
1.0
-3.936 -0.068 0.073
0.087 -3.754 1.183
-1.843 0.062 6.882
Mo Al Sr
2 2 1
direct
0.250 0.750 0.500 Mo
0.750 0.250 0.500 Mo
0.390 0.390 0.220 Al
0.610 0.610 0.780 Al
0.000 0.000 0.000 Sr
```


Crystalline SrAl2Mo at its relaxed geometry. Source: the Alexandria database, functional PBE-GGA.

Values from the calculation:
SG: I-4m2
VASP energy, eV for the cell shown: -17.70
Distance to the lowest polymorph of the same formula, eV per formula unit: 2.218
D(E_F), states/eV per cell: 3.08

```
SrAl2Mo
1.0
5.584 -0.004 0.000
2.413 5.036 0.000
-3.999 -2.516 2.977
Al Sr Mo
2 1 1
direct
0.250 0.750 0.500 Al
0.000 0.000 0.000 Al
0.750 0.250 0.500 Sr
0.500 0.500 0.000 Mo
```


Crystalline Sr2AlMo at its relaxed geometry. Source: the Alexandria database, functional PBE-GGA.

Values from the calculation:
SG: Amm2
VASP energy, eV for the cell shown: -15.98
D(E_F), states/eV per cell: 4.67

```
Sr2AlMo
1.0
4.487 0.000 0.000
0.000 4.786 -0.002
0.000 2.397 6.006
Al Sr Mo
1 2 1
direct
0.000 0.678 0.519 Al
0.500 0.266 0.344 Sr
0.000 0.981 0.912 Sr
0.500 0.575 0.725 Mo
```


Crystalline Sr2AlMo at its relaxed geometry. Source: the Alexandria database, functional PBE-GGA.

Values from the calculation:
SG: Pmmm
VASP energy, eV for the cell shown: -15.02
D(E_F), states/eV per cell: 3.45

```
Sr2AlMo
1.0
-2.616 3.001 -0.289
-2.935 -2.515 0.444
-2.633 -1.528 7.969
Sr Al Mo
2 1 1
direct
0.000 0.001 0.999 Sr
0.000 0.499 0.501 Sr
0.500 0.250 0.250 Al
0.500 0.750 0.750 Mo
```


Crystalline SrAlMo2 at its relaxed geometry. Source: the Alexandria database, functional PBE-GGA.

Values from the calculation:
SG: P2/m
VASP energy, eV for the cell shown: -24.96
D(E_F), states/eV per cell: 3.91

```
SrAlMo2
1.0
4.709 0.000 0.000
0.000 3.316 0.006
0.000 1.086 6.110
Mo Al Sr
2 1 1
direct
0.000 0.951 0.894 Mo
0.000 0.549 0.606 Mo
0.500 0.750 0.750 Al
0.500 0.250 0.250 Sr
```


Crystalline Sr2AlMo at its relaxed geometry. Source: the Alexandria database, functional PBE-GGA.

Values from the calculation:
SG: R3m
VASP energy, eV for the cell shown: -16.37
D(E_F), states/eV per cell: 4.26

```
Sr2AlMo
1.0
8.335 0.011 0.004
7.102 4.363 0.004
7.106 2.014 3.865
Al Sr Mo
1 2 1
direct
0.456 0.456 0.457 Al
0.215 0.215 0.214 Sr
0.036 0.036 0.036 Sr
0.793 0.793 0.793 Mo
```


- Which formula does entry 8 have?
  SrAl2Mo